CaSb3Se6: optimized geometry, GGA-PBE.

Results
E ... -4.083 eV/atom
Symmetry ... P2_1/m

a b c (Å): 12.2980 3.9957 12.5529
angles (deg): 90.00 111.78 90.00
Closest atoms and distances in Å follow each position.
Fractional coordinates of all 20 atoms:
1 Ca 0.2089 0.2500 0.0401  8 Se 3.04-3.19
2 Ca 0.7911 0.7500 0.9599  8 Se 3.04-3.19
3 Sb 0.0483 0.7500 0.2720  5 Se 2.66-2.86
4 Sb 0.3453 0.2500 0.4421  5 Se 2.76-3.04
5 Sb 0.3873 0.7500 0.8489  3 Se 2.66-2.73
6 Sb 0.6127 0.2500 0.1511  3 Se 2.66-2.73
7 Sb 0.6547 0.7500 0.5579  5 Se 2.76-3.04
8 Sb 0.9517 0.2500 0.7280  5 Se 2.66-2.86
9 Se 0.0175 0.7500 0.9034  2 Sb 2.86, 3 Ca 3.08-3.12
10 Se 0.1227 0.2500 0.4463  3 Sb 2.76-2.85
11 Se 0.2242 0.2500 0.7918  2 Sb 2.73
12 Se 0.2536 0.7500 0.2466  1 Sb 2.66
13 Se 0.4034 0.7500 0.0661  1 Sb 2.66
14 Se 0.4238 0.7500 0.6047  2 Sb 2.76
15 Se 0.5762 0.2500 0.3953  2 Sb 2.76
16 Se 0.5966 0.2500 0.9339  1 Sb 2.66
17 Se 0.7464 0.2500 0.7534  1 Sb 2.66
18 Se 0.7758 0.7500 0.2082  2 Sb 2.73
19 Se 0.8773 0.7500 0.5537  3 Sb 2.76-2.85
20 Se 0.9825 0.2500 0.0966  2 Sb 2.86, 3 Ca 3.08-3.12